No. 1
Crystalline NaFeCu2Sn at its relaxed geometry, computed with PBE.

Cell: 4.5000 4.8004 4.5000 Å, 90.00 90.00 90.00°
Site moments in Bohr magnetons follow the coordinates.
Sites, in units of the cell vectors:
Na: 0.0000 0.5000 0.0000  0.00
Sn: 0.5000 0.5000 0.5000  -0.01
Cu: 0.0000 0.0000 0.5000  0.20
Cu: 0.5000 0.0000 0.0000  0.06
Fe: 0.0000 0.0000 0.0000  2.67

Calculated formation energy, eV/atom: 0.874
E_tot, eV per formula unit: -17.61
SG: P4/mmm (123)
V, Å³ per cell: 97.2


No. 2
Crystalline Ba4Na2Sr3 at its relaxed geometry, computed with PBE.

Cell: 7.2242 12.1475 12.1475 Å, 70.43 84.92 84.92°
Sites, in units of the cell vectors:
Ba: 0.5206 0.0677 0.8097
Ba: 0.9794 0.1903 0.9323
Ba: 0.4794 0.9323 0.1903
Ba: 0.0206 0.8097 0.0677
Ba: 0.6036 0.8196 0.5960
Ba: 0.8964 0.4040 0.1804
Ba: 0.3964 0.1804 0.4040
Ba: 0.1036 0.5960 0.8196
Na: 0.1728 0.7369 0.4654
Na: 0.3272 0.5346 0.2631
Na: 0.8272 0.2631 0.5346
Na: 0.6728 0.4654 0.7369
Sr: 0.0603 0.9631 0.6916
Sr: 0.4397 0.3084 0.0369
Sr: 0.9397 0.0369 0.3084
Sr: 0.5603 0.6916 0.9631
Sr: 0.2500 0.3977 0.6023
Sr: 0.7500 0.6023 0.3977

Calculated formation energy, eV/atom: 0.044
E_tot, eV per formula unit: -14.98
SG: C2/c (15)
V, Å³ per cell: 998.5
E above lowest polymorph, kJ/mol of atoms: 0.0


No. 3
Crystalline Tb3PrY5 at its relaxed geometry, computed with PBE.

Cell: 8.6778 8.6778 9.9281 Å, 115.91 115.91 90.00°
Sites, in units of the cell vectors:
Tb: 0.6182 0.1182 0.0000
Tb: 0.3818 0.8818 0.0000
Tb: 0.8818 0.6182 0.0000
Tb: 0.1182 0.3818 0.0000
Tb: 0.2500 0.2500 0.5000
Tb: 0.7500 0.7500 0.5000
Pr: 0.7500 0.2500 0.5000
Pr: 0.2500 0.7500 0.5000
Y: 0.0674 0.5674 0.7284
Y: 0.6609 0.1609 0.7284
Y: 0.1609 0.0674 0.7284
Y: 0.5674 0.6609 0.7284
Y: 0.9326 0.4326 0.2716
Y: 0.3391 0.8391 0.2716
Y: 0.8391 0.9326 0.2716
Y: 0.4326 0.3391 0.2716
Y: 0.5000 0.5000 0.0000
Y: 0.0000 0.0000 0.0000

Calculated formation energy, eV/atom: 0.262
E_tot, eV per formula unit: -48.63
SG: I4/mcm (140)
V, Å³ per cell: 587.7
E above lowest polymorph, kJ/mol of atoms: 0.0